# AlAgB | OQMD | PBE | relaxed
data_AlAgB
_cell_length_a 5.641
_cell_length_b 5.641
_cell_length_c 5.641
_cell_angle_alpha 90.00
_cell_angle_beta 90.00
_cell_angle_gamma 90.00
_symmetry_space_group_name_H-M 'F -4 3 m'
_symmetry_Int_Tables_number 216
_symmetry_space_group_name_Hall 'F -4 2 3'
loop_
_atom_site_label
_atom_site_type_symbol
_atom_site_fract_x
_atom_site_fract_y
_atom_site_fract_z
_atom_site_occupancy
Al1 Al 0.000 0.000 0.000 1
Ag1 Ag 0.250 0.250 0.250 1
B1 B 0.000 0.000 0.500 1
# energy: -42.84 eV for the cell shown
# crystal system: cubic
# ρ: 5.4 Mg/m³
# calculated volume: 44.9 Å³/f.u.